[1]
Computed, not measured: a geometry-optimized Tm3Si7Rh2 structure at the PBE level of DFT.

abc: 4.1930 4.0078 12.5476
angles: 90.00 97.77 90.00
Closest atoms and distances in Å follow each position.
Atoms (fractional coordinates):
Tm: 0.0000 0.0000 0.0000  12 Si 2.88-3.09
Tm: 0.3001 0.5000 0.6335  9 Si 3.01-3.16, 4 Rh 3.12-3.26
Tm: 0.6999 0.5000 0.3665  9 Si 3.01-3.16, 4 Rh 3.12-3.26
Si: 0.2038 0.5000 0.1693  2 Rh 2.35, 3 Si 2.60-2.61
Si: 0.2279 0.0000 0.4495  1 Rh 2.36, 2 Si 2.43-2.46
Si: 0.3958 0.0000 0.8294  2 Rh 2.34-2.41, 2 Si 2.61
Si: 0.5000 0.5000 0.0000  2 Si 2.60, 4 Tm 2.90
Si: 0.6042 0.0000 0.1706  2 Rh 2.34-2.41, 2 Si 2.61
Si: 0.7721 0.0000 0.5505  1 Rh 2.36, 2 Si 2.43-2.46
Si: 0.7962 0.5000 0.8307  2 Rh 2.35, 3 Si 2.60-2.61
Rh: 0.1308 0.0000 0.2601  5 Si 2.34-2.41
Rh: 0.8692 0.0000 0.7399  5 Si 2.34-2.41

[2]
Computed, not measured: a geometry-optimized Tm2SiRh structure at the PBE level of DFT.

abc: 4.6812 4.6812 3.6444
angles: 90.00 90.00 90.00
Closest atoms and distances in Å follow each position.
Atoms (fractional coordinates):
Tm: 0.0000 0.5000 0.0000  4 Rh 2.97, 4 Si 2.97, 4 Tm 3.31
Tm: 0.5000 0.0000 0.0000  4 Rh 2.97, 4 Si 2.97, 4 Tm 3.31
Si: 0.0000 0.0000 0.5000  8 Tm 2.97, 4 Rh 3.31
Rh: 0.5000 0.5000 0.5000  8 Tm 2.97, 4 Si 3.31

[3]
Computed, not measured: a geometry-optimized Tm2VSi2Rh5 structure at the PBE level of DFT.

abc: 9.5468 9.5468 3.5131
angles: 90.00 90.00 90.00
Closest atoms and distances in Å follow each position.
Atoms (fractional coordinates):
Tm: 0.1741 0.3259 0.0000  3 Si 2.72-2.89, 6 Rh 2.93-3.04
Tm: 0.3259 0.8259 0.0000  3 Si 2.72-2.89, 6 Rh 2.93-3.04
Tm: 0.6741 0.1741 0.0000  3 Si 2.72-2.89, 6 Rh 2.93-3.04
Tm: 0.8259 0.6741 0.0000  3 Si 2.72-2.89, 6 Rh 2.93-3.04
V: 0.0000 0.0000 0.0000  8 Rh 2.72
V: 0.5000 0.5000 0.0000  8 Rh 2.72
Si: 0.1244 0.6244 0.0000  6 Rh 2.43-2.44, 1 Tm 2.72
Si: 0.3756 0.1244 0.0000  6 Rh 2.43-2.44, 1 Tm 2.72
Si: 0.6244 0.8756 0.0000  6 Rh 2.43-2.44, 1 Tm 2.72
Si: 0.8756 0.3756 0.0000  6 Rh 2.43-2.44, 1 Tm 2.72
Rh: 0.0000 0.5000 0.5000  4 Si 2.43
Rh: 0.0679 0.7930 0.5000  2 Si 2.44, 2 V 2.72
Rh: 0.2070 0.0679 0.5000  2 Si 2.44, 2 V 2.72
Rh: 0.2930 0.5679 0.5000  2 Si 2.44, 2 V 2.72
Rh: 0.4321 0.2930 0.5000  2 Si 2.44, 2 V 2.72
Rh: 0.5000 0.0000 0.5000  4 Si 2.43
Rh: 0.5679 0.7070 0.5000  2 Si 2.44, 2 V 2.72
Rh: 0.7070 0.4321 0.5000  2 Si 2.44, 2 V 2.72
Rh: 0.7930 0.9321 0.5000  2 Si 2.44, 2 V 2.72
Rh: 0.9321 0.2070 0.5000  2 Si 2.44, 2 V 2.72

Short version: final energy = -6.22, -6.18, -7.40 eV/atom, in the order given.
Short version: total magnetic moment = 0.000, 0.000, 0.096 μB per atom, in the order given.
Short version: formation energy from raw total energies = -0.72, -0.75, -0.83 eV per atom, in the order given.